(1)
A plane-wave DFT calculation with PBE was carried out for a relaxed LaP2O2 crystal.

```
LaP2O2
1.0
4.050 0.000 0.000
0.000 4.050 0.000
0.000 0.000 4.454
O La P
2 1 2
direct
0.000 0.500 0.000
0.500 0.000 0.000
0.500 0.500 0.500
0.000 0.000 0.000
0.000 0.000 0.500
```

## Properties
The total moment is 0.00 μB per cell. Its density of states at the Fermi level is 2.1 states/eV per cell. The value obtained for the excess energy over the best structure of this formula in the dataset is 0 meV/atom.

---

(2)
A plane-wave DFT calculation with PBE was carried out for a relaxed Cs2SeN crystal.

```
Cs2SeN
1.0
-0.222 -5.639 -1.385
-4.664 -2.141 -2.726
0.384 -1.644 -5.560
Se Cs N
1 2 1
direct
0.500 0.500 0.500
0.250 0.250 0.250
0.750 0.750 0.750
0.000 0.000 0.000
```

## Properties
The total moment is 3.00 μB per cell. Its density of states at the Fermi level is 0.0 states/eV per cell. The value obtained for the excess energy over the best structure of this formula in the dataset is 213 meV/atom.

---

Q: Which formula does entry 2 have?
A: Cs2SeN

---

Please write out number 2 again, unchanged.
A plane-wave DFT calculation with PBE was carried out for a relaxed Cs2SeN crystal.

```
Cs2SeN
1.0
-0.222 -5.639 -1.385
-4.664 -2.141 -2.726
0.384 -1.644 -5.560
Se Cs N
1 2 1
direct
0.500 0.500 0.500
0.250 0.250 0.250
0.750 0.750 0.750
0.000 0.000 0.000
```

## Properties
The total moment is 3.00 μB per cell. Its density of states at the Fermi level is 0.0 states/eV per cell. The value obtained for the excess energy over the best structure of this formula in the dataset is 213 meV/atom.